1.
Material: UBePb
Method: DFT, GGA-PBE
State: relaxed

```
12
Lattice="6.921 0.000 0.000 0.000 6.921 0.000 0.000 0.000 6.921" Properties=species:S:1:pos:R:3 pbc="T T T"
U 0.000 0.000 0.000
U 0.000 3.460 3.460
U 3.460 0.000 3.460
U 3.460 3.460 0.000
Be 1.730 1.730 1.730
Be 1.730 5.191 5.191
Be 5.191 1.730 5.191
Be 5.191 5.191 1.730
Pb 1.730 1.730 5.191
Pb 1.730 5.191 1.730
Pb 5.191 1.730 1.730
Pb 5.191 5.191 5.191
```

Output
E_tot	-5.116	eV per atom
energy above the most stable polymorph in this dataset	0.5670	eV/atom
symmetry	F-43m, No. 216

---

2.
Material: BePbW2
Method: DFT, GGA-PBE
State: relaxed

```
16
Lattice="6.419 0.000 0.000 0.000 6.419 0.000 0.000 0.000 6.419" Properties=species:S:1:pos:R:3 pbc="T T T"
Be 0.000 0.000 0.000
Be 0.000 3.210 3.210
Be 3.210 0.000 3.210
Be 3.210 3.210 0.000
Pb 1.605 1.605 4.814
Pb 1.605 4.814 1.605
Pb 4.814 1.605 1.605
Pb 4.814 4.814 4.814
W 0.000 0.000 3.210
W 0.000 3.210 0.000
W 1.605 1.605 1.605
W 1.605 4.814 4.814
W 3.210 0.000 0.000
W 3.210 3.210 3.210
W 4.814 1.605 4.814
W 4.814 4.814 1.605
```

Output
E_tot	-7.410	eV per atom
symmetry	F-43m, No. 216

---

3.
Material: Be2PbW
Method: DFT, GGA-PBE
State: relaxed

```
16
Lattice="6.317 0.000 0.000 0.000 6.317 0.000 0.000 0.000 6.317" Properties=species:S:1:pos:R:3 pbc="T T T"
Be 0.000 0.000 0.000
Be 0.000 3.159 3.159
Be 1.579 1.579 1.579
Be 1.579 4.738 4.738
Be 3.159 0.000 3.159
Be 3.159 3.159 0.000
Be 4.738 1.579 4.738
Be 4.738 4.738 1.579
Pb 0.000 0.000 3.159
Pb 0.000 3.159 0.000
Pb 3.159 0.000 0.000
Pb 3.159 3.159 3.159
W 1.579 1.579 4.738
W 1.579 4.738 1.579
W 4.738 1.579 1.579
W 4.738 4.738 4.738
```

Output
E_tot	-4.760	eV per atom
symmetry	F-43m, No. 216